VASP calculation (GGA+U) on a geometry-optimized CdCoMo2O8 structure.

```
12
Lattice="-4.385 -1.461 3.887 5.199 -2.494 1.797 0.607 6.006 -0.184" Properties=species:S:1:pos:R:3 pbc="T T T"
O -0.270 -1.612 4.482
O -0.337 3.881 1.461
O -2.730 -0.048 3.841
O -2.577 2.824 3.126
O 1.513 -0.639 2.327
O 1.936 2.471 2.731
O -1.051 0.988 1.630
O -0.385 1.371 4.493
Co 3.106 0.767 2.228
Mo -1.686 1.284 3.273
Mo 0.407 -1.978 2.842
Cd 0.000 0.000 0.000
```

## Properties
- final energy (eV per cell) = -76.0
- symmetry = No. 119
- ρ (g/cm³) = 4.81